# Ac2SmIr PBE-GGA relaxed
data_Ac2SmIr
_chemical_formula_sum 'Ac8 Sm4 Ir4'
_cell_length_a 7.2314
_cell_length_b 6.7860
_cell_length_c 12.2540
_cell_angle_alpha 90.00
_cell_angle_beta 90.00
_cell_angle_gamma 90.00
_space_group_name_H-M_alt 'P n n a'
_space_group_IT_number 52
_space_group_name_Hall '-P 2a 2bc'
loop_
_atom_site_label
_atom_site_fract_x
_atom_site_fract_y
_atom_site_fract_z
_atom_site_occupancy
Ac1 0.0863 0.2454 0.0830 1
Sm1 0.0832 0.2500 0.7500 1
Ir1 0.2500 0.0000 0.9050 1
# magnetization: 0.00 Bohr magnetons per cell
# offset from the most stable computed form: 0.000 eV/atom